The following is a GGA-PBEsol calculation of a relaxed LiBe2Ru2 crystal, from Alexandria.

Results
final energy: -31.0 eV/f.u.
crystal system: tetragonal
D(E_F): 2.91 states/eV/f.u.
formation energy: -135 meV per atom

a b c (Å): 5.8086 5.8086 3.0742
angles (deg): 90.00 90.00 90.00
Last column: nearest neighbours and their distance in Å.
Space group P4/mbm (No. 127)
Unique sites:
Li  0.0000  0.0000  0.0000 (multiplicity 2)  4 Be 2.30
Be  0.1249  0.3751  0.0000 (multiplicity 4)  1 Be 2.05, 2 Ru 2.27, 2 Li 2.30
Ru  0.1718  0.6718  0.5000 (multiplicity 4)  6 Be 2.27-2.33